The following is a DFT calculation (GGA-PBE) of crystalline KRhCl2 at its relaxed geometry.

## Properties
excess energy over the best structure of this formula in the dataset: 167 meV per atom
magnetic moment: 2.01 μB/cell
N(E_F): 0.20 states/eV/f.u.
formation energy without anion corrections: -0.6145 eV per atom
raw total energy: -0.2683 Ry/atom

Cell and atoms, written as CIF:
```
data_KRhCl2
_symmetry_space_group_name_H-M 'P 1'
_symmetry_Int_Tables_number 1
_symmetry_space_group_name_Hall 'P 1'
_cell_length_a 6.371
_cell_length_b 6.371
_cell_length_c 4.683
_cell_angle_alpha 88.76
_cell_angle_beta 88.76
_cell_angle_gamma 35.87
loop_
_atom_site_label
_atom_site_fract_x
_atom_site_fract_y
_atom_site_fract_z
_atom_site_occupancy
K1 0.490 0.490 0.612 1
Rh1 0.220 0.220 0.243 1
Cl1 0.029 0.029 0.106 1
Cl2 0.761 0.761 0.539 1
```